# 1
! Ta2TiP2, optimized geometry, DFT PBE; values from VASP
&SYSTEM
  ibrav = 0, nat = 10, ntyp = 3
/
ATOMIC_SPECIES
Ta 180.95 Ta.upf
Ti 47.87 Ti.upf
P 30.97 P.upf
CELL_PARAMETERS angstrom
6.6754 0.0000 0.0000
0.0000 6.6754 0.0000
0.0000 0.0000 3.3960
ATOMIC_POSITIONS crystal
Ta 0.1537 0.3463 0.0000
Ta 0.3463 0.8463 0.0000
Ta 0.6537 0.1537 0.0000
Ta 0.8463 0.6537 0.0000
Ti 0.0000 0.0000 0.5000
Ti 0.5000 0.5000 0.5000
P 0.1452 0.6452 0.5000
P 0.3548 0.1452 0.5000
P 0.6452 0.8548 0.5000
P 0.8548 0.3548 0.5000
! Calculated density (g cm⁻³): 10.35
! SG: P4/mbm
! M_tot (μB per formula unit): 0.0
! Formation energy (eV per atom): -0.766
! Volume (Å³/cell): 151

# 2
! TiP2HCl, optimized geometry, DFT PBE; values from VASP
&SYSTEM
  ibrav = 0, nat = 5, ntyp = 4
/
ATOMIC_SPECIES
Ti 47.87 Ti.upf
P 30.97 P.upf
H 1.01 H.upf
Cl 35.45 Cl.upf
CELL_PARAMETERS angstrom
4.7401 0.0000 0.0000
0.0000 4.7401 0.0000
0.0000 0.0000 4.8737
ATOMIC_POSITIONS crystal
Ti 0.0000 0.0000 0.0000
P 0.0000 0.5000 0.0000
P 0.5000 0.0000 0.0000
H 0.5000 0.5000 0.5000
Cl 0.0000 0.0000 0.5000
! Calculated density (g cm⁻³): 2.22
! SG: P4/mmm
! Energy above the most stable polymorph in this dataset (eV/atom): 0.234
! M_tot (μB per formula unit): 0.2
! Volume (Å³/cell): 110

# 3
! Ca2HgTeW, optimized geometry, DFT PBE; values from VASP
&SYSTEM
  ibrav = 0, nat = 5, ntyp = 4
/
ATOMIC_SPECIES
Ca 40.08 Ca.upf
Hg 200.59 Hg.upf
Te 127.60 Te.upf
W 183.84 W.upf
CELL_PARAMETERS angstrom
5.7888 0.0000 0.0000
0.0000 5.7888 0.0000
0.0000 0.0000 5.6158
ATOMIC_POSITIONS crystal
Ca 0.0000 0.5000 0.0000
Ca 0.5000 0.0000 0.0000
Hg 0.0000 0.0000 0.5000
Te 0.0000 0.0000 0.0000
W 0.5000 0.5000 0.5000
! Formation energy from raw total energies (eV/atom): 0.98
! Calculated density (g cm⁻³): 5.23
! SG: P4/mmm
! M_tot (μB per formula unit): 4.6
! Volume (Å³/cell): 188

# 4
! HoNiAsH, optimized geometry, DFT PBE; values from VASP
&SYSTEM
  ibrav = 0, nat = 4, ntyp = 4
/
ATOMIC_SPECIES
Ho 164.93 Ho.upf
Ni 58.69 Ni.upf
As 74.92 As.upf
H 1.01 H.upf
CELL_PARAMETERS angstrom
4.0580 0.0000 0.0000
-2.0290 3.5143 0.0000
0.0000 0.0000 3.9073
ATOMIC_POSITIONS crystal
Ho 0.0000 0.0000 0.0000
Ni 0.6667 0.3333 0.5416
As 0.3333 0.6667 0.4781
H 0.6667 0.3333 0.9567
! Calculated density (g cm⁻³): 8.93
! SG: P3m1
! Energy (eV/atom): -5.479
! M_tot (μB per formula unit): 0.0
! Volume (Å³/cell): 56